# LuAl (PBE, optimized geometry)
# DFT total energy: -3.5438 eV per atom
# total magnetic moment: 0.0 μB per formula unit
data_LuAl
_space_group_name_H-M_alt 'P 63/m m c'
_space_group_IT_number 194
_space_group_name_Hall '-P 6c 2c'
_cell_length_a 5.1611
_cell_length_b 5.1611
_cell_length_c 5.8431
_cell_angle_alpha 90.00
_cell_angle_beta 90.00
_cell_angle_gamma 120.00
loop_
_atom_site_label
_atom_site_type_symbol
_atom_site_fract_x
_atom_site_fract_y
_atom_site_fract_z
Lu1 Lu 0.3333 0.6667 0.2500
Al1 Al 0.3333 0.6667 0.7500



# AcZr2 (PBE, optimized geometry)
# DFT formation energy: 0.285 eV/atom
# total magnetic moment: 0.0 μB per formula unit
# relative energy among the computed polymorphs: 0.092 eV/atom
data_AcZr2
_space_group_name_H-M_alt 'P m m n'
_space_group_IT_number 59
_cell_length_a 5.5198
_cell_length_b 10.5070
_cell_length_c 5.9543
_cell_angle_alpha 90.00
_cell_angle_beta 90.00
_cell_angle_gamma 90.00
loop_
_space_group_symop_operation_xyz
'x,y,z'
'-x,-y,-z'
'-x+1/2,-y+1/2,z'
'x+1/2,y+1/2,-z'
'x+1/2,-y,-z'
'-x+1/2,y,z'
'-x,y+1/2,-z'
'x,-y+1/2,z'
loop_
_atom_site_label
_atom_site_type_symbol
_atom_site_fract_x
_atom_site_fract_y
_atom_site_fract_z
Ac1 Ac 0.2500 0.0861 0.1025
Zr1 Zr 0.2500 0.2500 0.6121
Zr2 Zr 0.2500 0.6046 0.5518
Zr3 Zr 0.2500 0.7500 0.0981



# LiSbIr (PBE, optimized geometry)
# DFT total energy: -5.2548 eV per atom
# total magnetic moment: 0.0 μB per formula unit
data_LiSbIr
_space_group_name_H-M_alt 'F -4 3 m'
_space_group_IT_number 216
_space_group_name_Hall 'F -4 2 3'
_cell_length_a 6.0972
_cell_length_b 6.0972
_cell_length_c 6.0972
_cell_angle_alpha 90.00
_cell_angle_beta 90.00
_cell_angle_gamma 90.00
loop_
_atom_site_label
_atom_site_type_symbol
_atom_site_fract_x
_atom_site_fract_y
_atom_site_fract_z
Li1 Li 0.0000 0.0000 0.0000
Sb1 Sb 0.0000 0.0000 0.5000
Ir1 Ir 0.2500 0.2500 0.2500